Entry 1:
Density functional theory data (PBE) for crystalline Y6MnSi2S14 at its relaxed geometry.

Lattice parameters (Å, degrees): 9.893 9.893 5.681 90.00 90.00 120.00
Each line ends with the local moment (μB).
Positions (direct):
1 Y 0.129 0.772 0.756  0.02
2 Y 0.358 0.129 0.252  0.01
3 Y 0.643 0.871 0.756  0.02
4 Y 0.228 0.357 0.756  0.02
5 Y 0.771 0.642 0.252  0.01
6 Y 0.871 0.229 0.252  0.01
7 S 0.893 0.479 0.988  0.00
8 S 0.106 0.521 0.494  0.01
9 S 0.586 0.107 0.988  0.00
10 S 0.160 0.250 0.233  0.03
11 S 0.908 0.157 0.715  0.03
12 S 0.415 0.894 0.494  0.01
13 S 0.090 0.840 0.233  0.03
14 S 0.333 0.667 0.973  0.00
15 S 0.667 0.333 0.467  0.00
16 S 0.249 0.092 0.715  0.03
17 S 0.479 0.585 0.494  0.01
18 S 0.521 0.414 0.988  0.00
19 S 0.843 0.751 0.715  0.03
20 S 0.750 0.910 0.233  0.03
21 Si 0.667 0.333 0.837  0.00
22 Si 0.333 0.667 0.344  0.00
23 Mn 0.000 0.000 0.478  4.14

Results
space-group type	P3 (143)
formation energy from raw total energies	-3528	kJ/mol of formula units

Entry 2:
Density functional theory data (PBE) for crystalline SmMnS3 at its relaxed geometry.

Lattice parameters (Å, degrees): 3.806 7.707 12.954 90.00 90.00 90.00
Each line ends with the local moment (μB).
Positions (direct):
1 Sm 0.250 0.592 0.330  0.05
2 Sm 0.750 0.908 0.830  0.05
3 Sm 0.250 0.092 0.170  0.05
4 Sm 0.750 0.408 0.670  0.05
5 Mn 0.250 0.841 0.553  3.61
6 Mn 0.750 0.659 0.053  3.61
7 Mn 0.250 0.341 0.947  3.61
8 Mn 0.750 0.159 0.447  3.61
9 S 0.750 0.654 0.494  -0.02
10 S 0.750 0.154 0.006  -0.02
11 S 0.250 0.479 0.112  -0.01
12 S 0.250 0.694 0.713  -0.02
13 S 0.250 0.194 0.787  -0.02
14 S 0.250 0.979 0.388  -0.01
15 S 0.250 0.346 0.506  -0.02
16 S 0.750 0.021 0.612  -0.01
17 S 0.750 0.806 0.213  -0.02
18 S 0.750 0.521 0.888  -0.01
19 S 0.750 0.306 0.287  -0.02
20 S 0.250 0.846 0.994  -0.02

Results
space-group type	Pnma (62)
formation energy from raw total energies	-616	kJ/mol of formula units

Entry 3:
Density functional theory data (PBE) for crystalline Sm4MnS7 at its relaxed geometry.

Lattice parameters (Å, degrees): 9.741 9.741 6.882 90.00 90.00 120.00
Each line ends with the local moment (μB).
Positions (direct):
1 Sm 0.788 0.167 0.218  0.02
2 Sm 0.622 0.788 0.718  0.02
3 Sm 0.667 0.333 0.669  0.01
4 Sm 0.378 0.212 0.218  0.02
5 Sm 0.333 0.667 0.169  0.01
6 Sm 0.212 0.833 0.718  0.02
7 Sm 0.167 0.378 0.718  0.02
8 Sm 0.833 0.622 0.218  0.02
9 S 0.519 0.073 0.454  0.01
10 S 0.554 0.481 0.454  0.01
11 S 0.446 0.519 0.954  0.01
12 S 0.887 0.755 0.818  0.06
13 S 0.113 0.245 0.318  0.06
14 S 0.073 0.554 0.954  0.01
15 S 0.333 0.667 0.552  0.00
16 S 0.868 0.113 0.818  0.06
17 S 0.245 0.132 0.818  0.06
18 S 0.481 0.927 0.954  0.01
19 S 0.755 0.868 0.318  0.06
20 S 0.132 0.887 0.318  0.06
21 S 0.667 0.333 0.052  0.00
22 S 0.927 0.446 0.454  0.01
23 Mn 0.000 0.000 0.005  4.17
24 Mn 0.000 0.000 0.505  4.17

Results
space-group type	P6_3 (173)
formation energy from raw total energies	-1988	kJ/mol of formula units

Entry 4:
Density functional theory data (PBE) for crystalline SmMn2S4 at its relaxed geometry.

Lattice parameters (Å, degrees): 7.189 7.189 7.185 107.71 107.71 113.08
Each line ends with the local moment (μB).
Positions (direct):
1 Sm 0.250 0.750 0.500  0.09
2 Sm 0.000 0.000 0.000  0.09
3 Mn 0.625 0.375 0.750  4.01
4 Mn 0.625 0.375 0.250  4.01
5 Mn 0.625 0.875 0.250  4.01
6 Mn 0.125 0.375 0.750  4.01
7 S 0.918 0.604 0.685  0.03
8 S 0.396 0.082 0.315  0.03
9 S 0.767 0.081 0.685  0.03
10 S 0.331 0.517 0.185  0.03
11 S 0.854 0.668 0.185  0.03
12 S 0.483 0.668 0.815  0.03
13 S 0.332 0.146 0.815  0.03
14 S 0.918 0.233 0.315  0.03

Results
space-group type	I4_1/amd (141)
formation energy from raw total energies	-672	kJ/mol of formula units

Entry 5:
Density functional theory data (PBE) for crystalline SmMn4S8 at its relaxed geometry.

Lattice parameters (Å, degrees): 6.766 6.766 7.490 63.15 63.15 60.00
Each line ends with the local moment (μB).
Positions (direct):
1 S 0.734 0.734 0.798  -0.02
2 S 0.740 0.231 0.798  -0.04
3 S 0.231 0.231 0.798  -0.04
4 S 0.266 0.266 0.202  -0.02
5 S 0.769 0.769 0.202  -0.04
6 S 0.231 0.740 0.798  -0.04
7 S 0.769 0.260 0.202  -0.04
8 S 0.260 0.769 0.202  -0.04
9 Mn 0.000 0.500 0.000  2.38
10 Mn 0.500 0.000 0.000  2.38
11 Mn 0.500 0.500 0.000  2.38
12 Mn 0.000 0.000 0.000  2.14
13 Sm 0.500 0.500 0.500  -0.04

Results
space-group type	R-3m (166)
formation energy from raw total energies	-996	kJ/mol of formula units

Entry 6:
Density functional theory data (PBE) for crystalline Sm3MnTl3S8 at its relaxed geometry.

Lattice parameters (Å, degrees): 7.956 7.956 8.879 116.61 90.00 120.00
Each line ends with the local moment (μB).
Positions (direct):
1 S 0.769 0.976 0.683  -0.03
2 S 0.735 0.470 0.705  0.00
3 S 0.793 0.586 0.317  -0.03
4 S 0.793 0.024 0.317  -0.03
5 S 0.231 0.024 0.317  -0.03
6 S 0.207 0.414 0.683  -0.03
7 S 0.265 0.530 0.295  0.00
8 S 0.207 0.976 0.683  -0.03
9 Mn 0.000 0.000 0.500  3.02
10 Tl 0.000 0.000 0.000  0.01
11 Tl 0.000 0.500 0.000  0.01
12 Tl 0.500 0.500 0.000  0.01
13 Sm 0.500 0.500 0.500  0.01
14 Sm 0.000 0.500 0.500  0.01
15 Sm 0.500 0.000 0.500  0.01

Results
space-group type	R-3m (166)
formation energy from raw total energies	-1735	kJ/mol of formula units

Entry 7:
Density functional theory data (PBE) for crystalline SmMnTlS3 at its relaxed geometry.

Lattice parameters (Å, degrees): 4.130 8.865 9.469 104.71 90.00 90.00
Each line ends with the local moment (μB).
Positions (direct):
1 S 0.250 0.548 0.845  0.02
2 S 0.250 0.809 0.460  0.11
3 S 0.750 0.878 0.133  0.05
4 S 0.750 0.452 0.155  0.02
5 S 0.750 0.191 0.540  0.11
6 S 0.250 0.122 0.867  0.05
7 Tl 0.250 0.200 0.213  0.01
8 Tl 0.750 0.800 0.787  0.01
9 Sm 0.750 0.336 0.853  0.04
10 Sm 0.250 0.664 0.147  0.04
11 Mn 0.250 0.080 0.613  4.17
12 Mn 0.750 0.920 0.387  4.17

Results
space-group type	P2_1/m (11)
formation energy from raw total energies	-648	kJ/mol of formula units

Entry 8:
Density functional theory data (PBE) for crystalline Sm3MnTl4S8 at its relaxed geometry.

Lattice parameters (Å, degrees): 8.048 8.773 8.050 117.31 119.99 90.00
Each line ends with the local moment (μB).
Positions (direct):
1 Mn 0.000 0.500 0.000  3.88
2 Sm 0.000 0.500 0.500  0.01
3 Sm 0.500 0.500 0.000  0.01
4 Sm 0.500 0.500 0.500  0.01
5 S 0.780 0.305 0.025  -0.01
6 S 0.220 0.695 0.441  -0.01
7 S 0.245 0.305 0.025  -0.01
8 S 0.780 0.305 0.559  -0.01
9 S 0.755 0.695 0.975  -0.01
10 S 0.220 0.695 0.975  -0.01
11 S 0.265 0.294 0.529  0.00
12 S 0.735 0.706 0.471  0.00
13 Tl 0.500 0.000 0.500  0.01
14 Tl 0.500 0.000 0.000  0.00
15 Tl 0.000 0.000 0.000  0.01
16 Tl 0.000 0.000 0.500  0.01

Results
space-group type	R-3m (166)
formation energy from raw total energies	-1792	kJ/mol of formula units

Entry 9:
Density functional theory data (PBE) for crystalline Sm2TmMnS5 at its relaxed geometry.

Lattice parameters (Å, degrees): 3.881 8.432 11.856 90.00 90.00 103.30
Each line ends with the local moment (μB).
Positions (direct):
1 S 0.347 0.694 0.016  0.02
2 S 0.982 0.964 0.524  0.06
3 S 0.301 0.601 0.683  0.02
4 S 0.653 0.306 0.516  0.02
5 S 0.507 0.013 0.253  0.05
6 S 0.690 0.379 0.861  0.03
7 S 0.310 0.621 0.361  0.03
8 S 0.699 0.399 0.183  0.02
9 S 0.493 0.987 0.753  0.05
10 S 0.018 0.036 0.024  0.06
11 Sm 0.122 0.243 0.343  0.02
12 Sm 0.119 0.237 0.692  -0.02
13 Sm 0.878 0.757 0.843  0.02
14 Sm 0.881 0.763 0.192  -0.02
15 Mn 0.449 0.898 0.428  3.68
16 Mn 0.551 0.102 0.928  3.68
17 Tm 0.185 0.369 0.024  0.02
18 Tm 0.815 0.631 0.524  0.02

Results
space-group type	Cmc2_1 (36)
formation energy from raw total energies	-1483	kJ/mol of formula units

Entry 10:
Density functional theory data (PBE) for crystalline Sm2MnVS6 at its relaxed geometry.

Lattice parameters (Å, degrees): 6.287 6.999 9.055 90.00 89.85 90.00
Each line ends with the local moment (μB).
Positions (direct):
1 S 0.680 0.318 0.554  0.00
2 S 0.879 0.525 0.250  -0.03
3 S 0.826 0.812 0.554  -0.01
4 S 0.174 0.188 0.446  -0.01
5 S 0.180 0.182 0.054  0.00
6 S 0.320 0.682 0.446  0.00
7 S 0.820 0.818 0.946  0.00
8 S 0.379 0.975 0.750  -0.03
9 S 0.121 0.475 0.750  -0.03
10 S 0.674 0.312 0.946  -0.01
11 S 0.621 0.025 0.250  -0.03
12 S 0.326 0.688 0.054  -0.01
13 Sm 0.042 0.894 0.249  0.03
14 Sm 0.958 0.106 0.751  0.03
15 Sm 0.458 0.394 0.251  0.03
16 Sm 0.542 0.606 0.749  0.03
17 V 0.000 0.500 0.500  1.70
18 V 0.500 0.000 0.000  1.70
19 Mn 0.500 0.000 0.500  3.74
20 Mn 0.000 0.500 0.000  3.74

Results
space-group type	P2_1/c (14)
formation energy from raw total energies	-1333	kJ/mol of formula units

Entry 11:
Density functional theory data (PBE) for crystalline MnSnS2 at its relaxed geometry.

Lattice parameters (Å, degrees): 6.053 6.053 6.412 61.83 61.83 90.00
Each line ends with the local moment (μB).
Positions (direct):
1 S 0.375 0.469 0.750  -0.01
2 S 0.219 0.625 0.250  -0.01
3 S 0.875 0.781 0.750  -0.01
4 S 0.531 0.125 0.250  -0.01
5 Sn 0.000 0.000 0.000  0.00
6 Sn 0.750 0.250 0.500  0.00
7 Mn 0.500 0.500 0.000  0.27
8 Mn 0.250 0.750 0.500  0.26

Results
space-group type	I-42d (122)
formation energy from raw total energies	-60	kJ/mol of formula units

Entry 12:
Density functional theory data (PBE) for crystalline Mn2SnS4 at its relaxed geometry.

Lattice parameters (Å, degrees): 6.344 6.344 3.661 90.00 90.00 109.42
Each line ends with the local moment (μB).
Positions (direct):
1 S 0.750 0.750 0.500  0.03
2 S 0.250 0.250 0.500  0.03
3 S 0.751 0.249 0.000  0.05
4 S 0.249 0.751 0.000  0.05
5 Mn 0.500 0.000 0.500  4.18
6 Mn 0.000 0.500 0.500  4.18
7 Sn 0.000 0.000 0.000  -0.01

Results
space-group type	Cmmm (65)
formation energy from raw total energies	-299	kJ/mol of formula units

What is the formation energy from raw total energies in the seventh record?
-648 kJ/mol of formula units

Among the records above, which one has the lowest formation energy from raw total energies?
Y6MnSi2S14

Which of these has the highest formation energy from raw total energies?
MnSnS2